A plane-wave DFT calculation with PBE was carried out for a relaxed structure of Mn2MoP12.

Cell lengths 8.493, 8.493, 10.585 Å; angles 114.23, 114.23, 39.46 degrees
Sites, in units of the cell vectors:
1 Mn 0.011 0.628 0.955
2 Mn 0.372 0.989 0.545
3 Mn 0.628 0.011 0.455
4 Mn 0.989 0.372 0.045
5 Mo 0.305 0.695 0.750
6 Mo 0.695 0.305 0.250
7 P 0.003 0.353 0.835
8 P 0.010 0.923 0.074
9 P 0.025 0.671 0.760
10 P 0.051 0.403 0.576
11 P 0.077 0.990 0.426
12 P 0.299 0.579 0.334
13 P 0.329 0.975 0.740
14 P 0.332 0.436 0.497
15 P 0.353 0.003 0.335
16 P 0.403 0.051 0.076
17 P 0.421 0.701 0.166
18 P 0.436 0.332 0.997
19 P 0.564 0.668 0.003
20 P 0.579 0.299 0.834
21 P 0.597 0.949 0.924
22 P 0.647 0.997 0.665
23 P 0.668 0.564 0.503
24 P 0.671 0.025 0.260
25 P 0.701 0.421 0.666
26 P 0.923 0.010 0.574
27 P 0.949 0.597 0.424
28 P 0.975 0.329 0.240
29 P 0.990 0.077 0.926
30 P 0.997 0.647 0.165

Symmetry: C2/c (15)
Size of the total moment (μB/f.u.): 0.00
Uncorrected energy (eV per cell): -198.8
Formation energy (meV/atom): -353.0

A plane-wave DFT calculation with PBE was carried out for a relaxed structure of Ca3BeRe.

Cell lengths 5.186, 5.186, 5.186 Å; angles 90.00, 90.00, 90.00 degrees
Sites, in units of the cell vectors:
1 Ca 0.000 0.000 0.500
2 Ca 0.000 0.500 0.000
3 Ca 0.500 0.000 0.000
4 Be 0.000 0.000 0.000
5 Re 0.500 0.500 0.500

Symmetry: Pm-3m (221)
Polymorph energy (0 for the lowest one) (meV per atom): 179.4
Size of the total moment (μB/f.u.): 0.00
Uncorrected energy (eV per cell): -15.6
Formation energy (meV/atom): 1308.0

A plane-wave DFT calculation with PBE was carried out for a relaxed structure of Tl16BiAu12.

Cell lengths 9.680, 9.680, 9.326 Å; angles 106.77, 106.77, 104.39 degrees
Sites, in units of the cell vectors:
1 Tl 0.000 0.000 0.000
2 Tl 0.000 0.415 0.002
3 Tl 0.027 0.659 0.769
4 Tl 0.263 0.263 0.969
5 Tl 0.314 0.314 0.610
6 Tl 0.319 0.718 0.646
7 Tl 0.384 0.616 0.963
8 Tl 0.388 0.617 0.326
9 Tl 0.415 0.000 0.002
10 Tl 0.616 0.384 0.963
11 Tl 0.617 0.388 0.326
12 Tl 0.625 0.985 0.359
13 Tl 0.659 0.027 0.769
14 Tl 0.718 0.319 0.646
15 Tl 0.985 0.625 0.359
16 Tl 0.988 0.988 0.349
17 Bi 0.655 0.655 0.722
18 Au 0.139 0.329 0.288
19 Au 0.170 0.970 0.668
20 Au 0.210 0.793 0.139
21 Au 0.329 0.139 0.288
22 Au 0.359 0.959 0.485
23 Au 0.677 0.872 0.039
24 Au 0.687 0.687 0.266
25 Au 0.793 0.210 0.139
26 Au 0.853 0.853 0.625
27 Au 0.872 0.677 0.039
28 Au 0.959 0.359 0.485
29 Au 0.970 0.170 0.668

Symmetry: Cm (8)
Size of the total moment (μB/f.u.): 0.00
Uncorrected energy (eV per cell): -80.9
Formation energy (meV/atom): 7.3

A plane-wave DFT calculation with PBE was carried out for a relaxed structure of Ta2Zn2Os.

Cell lengths 6.664, 6.664, 3.473 Å; angles 90.00, 90.00, 90.00 degrees
Sites, in units of the cell vectors:
1 Ta 0.174 0.326 0.000
2 Ta 0.326 0.826 0.000
3 Ta 0.674 0.174 0.000
4 Ta 0.826 0.674 0.000
5 Zn 0.127 0.627 0.500
6 Zn 0.373 0.127 0.500
7 Zn 0.627 0.873 0.500
8 Zn 0.873 0.373 0.500
9 Os 0.000 0.000 0.500
10 Os 0.500 0.500 0.500

Symmetry: P4/mbm (127)
Polymorph energy (0 for the lowest one) (meV per atom): 0.0
Size of the total moment (μB/f.u.): 0.00
Uncorrected energy (eV per cell): -74.4
Formation energy (meV/atom): 55.0

A plane-wave DFT calculation with PBE was carried out for a relaxed structure of PrDyCu2Si2.

Cell lengths 4.198, 4.198, 7.706 Å; angles 90.00, 90.00, 120.00 degrees
Sites, in units of the cell vectors:
1 Pr 0.000 0.000 0.000
2 Dy 0.000 0.000 0.500
3 Cu 0.333 0.667 0.731
4 Cu 0.667 0.333 0.269
5 Si 0.333 0.667 0.263
6 Si 0.667 0.333 0.737

Symmetry: P-3m1 (164)
Size of the total moment (μB/f.u.): 0.00
Uncorrected energy (eV per cell): -32.3
Raw formation energy (meV/atom): -641

A plane-wave DFT calculation with PBE was carried out for a relaxed structure of RbVN3.

Cell lengths 4.039, 4.039, 4.039 Å; angles 90.00, 90.00, 90.00 degrees
Sites, in units of the cell vectors:
1 Rb 0.000 0.000 0.000
2 V 0.500 0.500 0.500
3 N 0.000 0.500 0.500
4 N 0.500 0.000 0.500
5 N 0.500 0.500 0.000

Symmetry: Pm-3m (221)
Size of the total moment (μB/f.u.): 3.01
Uncorrected energy (eV per cell): -32.7
Raw formation energy (meV/atom): 464

A plane-wave DFT calculation with PBE was carried out for a relaxed structure of NdAlOs.

Cell lengths 8.201, 7.311, 6.631 Å; angles 71.88, 57.91, 50.21 degrees
Sites, in units of the cell vectors:
1 Nd 0.000 0.000 0.000
2 Nd 0.000 0.000 0.500
3 Nd 0.000 0.500 0.000
4 Nd 0.500 0.000 0.000
5 Al 0.246 0.504 0.246
6 Al 0.496 0.754 0.496
7 Al 0.504 0.246 0.504
8 Al 0.754 0.496 0.754
9 Os 0.204 0.204 0.546
10 Os 0.454 0.454 0.796
11 Os 0.546 0.546 0.204
12 Os 0.796 0.796 0.454

Symmetry: Fddd (70)
Size of the total moment (μB/f.u.): 0.00
Uncorrected energy (eV per cell): -80.6
Formation energy (meV/atom): -135.2

A plane-wave DFT calculation with PBE was carried out for a relaxed structure of RbGa3Au3.

Cell lengths 7.249, 7.249, 7.249 Å; angles 90.00, 90.00, 90.00 degrees
Sites, in units of the cell vectors:
1 Rb 0.000 0.000 0.000
2 Rb 0.500 0.500 0.500
3 Ga 0.000 0.250 0.500
4 Ga 0.000 0.750 0.500
5 Ga 0.250 0.500 0.000
6 Ga 0.500 0.000 0.250
7 Ga 0.500 0.000 0.750
8 Ga 0.750 0.500 0.000
9 Au 0.000 0.500 0.250
10 Au 0.000 0.500 0.750
11 Au 0.250 0.000 0.500
12 Au 0.500 0.250 0.000
13 Au 0.500 0.750 0.000
14 Au 0.750 0.000 0.500

Symmetry: Pm-3n (223)
Polymorph energy (0 for the lowest one) (meV per atom): 0.0
Size of the total moment (μB/f.u.): 0.00
Uncorrected energy (eV per cell): -42.9
Formation energy (meV/atom): -220.9

A plane-wave DFT calculation with PBE was carried out for a relaxed structure of Dy8ErTl2.

Cell lengths 8.796, 8.796, 5.576 Å; angles 101.75, 101.75, 119.45 degrees
Sites, in units of the cell vectors:
1 Dy 0.095 0.321 0.618
2 Dy 0.216 0.784 0.000
3 Dy 0.321 0.095 0.618
4 Dy 0.400 0.400 0.203
5 Dy 0.600 0.600 0.797
6 Dy 0.679 0.905 0.382
7 Dy 0.784 0.216 0.000
8 Dy 0.905 0.679 0.382
9 Er 0.000 0.000 0.000
10 Tl 0.306 0.694 0.500
11 Tl 0.694 0.306 0.500

Symmetry: C2/m (12)
Size of the total moment (μB/f.u.): 0.00
Uncorrected energy (eV per cell): -46.1
Formation energy (meV/atom): -2.2

A plane-wave DFT calculation with PBE was carried out for a relaxed structure of Ce3Th7.

Cell lengths 9.288, 9.288, 7.018 Å; angles 101.12, 101.12, 31.02 degrees
Sites, in units of the cell vectors:
1 Ce 0.000 0.000 0.000
2 Ce 0.200 0.200 0.602
3 Ce 0.800 0.800 0.398
4 Th 0.000 0.000 0.500
5 Th 0.200 0.200 0.101
6 Th 0.399 0.399 0.698
7 Th 0.400 0.400 0.199
8 Th 0.600 0.600 0.801
9 Th 0.601 0.601 0.302
10 Th 0.800 0.800 0.899

Symmetry: C2/m (12)
Size of the total moment (μB/f.u.): 0.00
Uncorrected energy (eV per cell): -69.6
Formation energy (meV/atom): 16.7

A plane-wave DFT calculation with PBE was carried out for a relaxed structure of ZrMnSb2.

Cell lengths 7.472, 7.472, 7.072 Å; angles 117.07, 117.07, 31.24 degrees
Sites, in units of the cell vectors:
1 Zr 0.000 0.000 0.000
2 Zr 0.515 0.515 0.469
3 Mn 0.161 0.161 0.476
4 Mn 0.757 0.757 0.742
5 Sb 0.149 0.149 0.824
6 Sb 0.369 0.369 0.670
7 Sb 0.659 0.659 0.253
8 Sb 0.855 0.855 0.181

Symmetry: Cm (8)
Size of the total moment (μB/f.u.): 2.42
Uncorrected energy (eV per cell): -53.8
Raw formation energy (meV/atom): -235

A plane-wave DFT calculation with PBE was carried out for a relaxed structure of Al4CrCo.

Cell lengths 5.031, 5.031, 5.031 Å; angles 60.00, 60.00, 60.00 degrees
Sites, in units of the cell vectors:
1 Al 0.125 0.125 0.125
2 Al 0.125 0.125 0.624
3 Al 0.125 0.624 0.125
4 Al 0.624 0.125 0.125
5 Cr 0.500 0.500 0.500
6 Co 0.750 0.750 0.750

Symmetry: F-43m (216)
Size of the total moment (μB/f.u.): 4.43
Uncorrected energy (eV per cell): -30.3
Formation energy (meV/atom): 238.5